# 1
# Dy4AgHg7

A geometry-optimized Dy4AgHg7 structure (PBE-GGA, the Alexandria database).

POSCAR file:
```
Dy4AgHg7
1.0
6.529 -2.661 0.000
6.529 2.661 0.000
-5.438 0.000 9.080
Dy Ag Hg
4 1 7
Direct
0.078 0.078 0.275 Dy
0.236 0.236 0.813 Dy
0.764 0.764 0.187 Dy
0.922 0.922 0.725 Dy
0.500 0.500 0.500 Ag
0.000 0.000 0.500 Hg
0.142 0.142 0.035 Hg
0.309 0.309 0.577 Hg
0.423 0.423 0.161 Hg
0.577 0.577 0.839 Hg
0.691 0.691 0.423 Hg
0.858 0.858 0.965 Hg
```

Computed properties:
As for the volume: 315.52 Å³ per cell. As for the formation energy: -0.25 eV/atom. The total DFT energy (no corrections) is -2.195 eV/atom. Its space group is No. 12.

=====

# 2
# Lu4In2N

A geometry-optimized Lu4In2N structure (PBE-GGA, the Alexandria database).

POSCAR file:
```
Lu4In2N
1.0
-2.308 2.308 7.803
2.308 -2.308 7.803
2.308 2.308 -7.803
Lu In N
4 2 1
Direct
0.000 0.500 0.500 Lu
0.161 0.161 0.000 Lu
0.500 0.000 0.500 Lu
0.839 0.839 0.000 Lu
0.361 0.361 0.000 In
0.639 0.639 0.000 In
0.000 0.000 0.000 N
```

Computed properties:
As for the volume: 166.27 Å³ per cell. The total DFT energy (no corrections) is -5.306 eV/atom. Its space group is No. 139. The uncorrected formation energy comes out at -0.751 eV/atom.